# 1
# Li3U2AgSe6

Crystalline Li3U2AgSe6 at its relaxed geometry (PBE, Alexandria).

Computed properties:
Calculated density: 6.53 Mg/m³
E_form (uncorrected): -1.065 eV per atom
N(E_F): 13.45 states/eV per cell
Uncorrected energy: -64.86 eV for the cell shown

```
12
Lattice="6.9724 0.0090 -0.0039 -3.4767 6.0438 -0.0039 -1.1701 -2.0260 6.5090" Properties=species:S:1:pos:R:3 pbc="T T T"
Li 1.1628 2.0134 3.2506
Se 2.4015 0.0055 1.6538
U 0.0060 4.0324 -0.0039
Li 4.6826 -0.0194 3.2506
Se 3.5210 1.9439 4.8473
Ag 0.0000 0.0000 0.0000
U 3.4897 2.0204 -0.0039
Li -2.3570 4.0462 3.2506
Se -1.1954 2.0829 1.6538
Se -0.0759 4.0213 4.8473
Se 2.2879 3.9615 1.6791
Se 0.0377 0.0653 4.8220
```

=====

# 2
# Li3U3AgSe8

Crystalline Li3U3AgSe8 at its relaxed geometry (PBE, Alexandria).

Computed properties:
Calculated density: 6.74 Mg/m³
E_form (uncorrected): -1.041 eV per atom
N(E_F): 12.34 states/eV per cell
Uncorrected energy: -85.95 eV for the cell shown

```
15
Lattice="-5.3199 -0.0280 5.9844 7.8366 -0.3633 1.6080 -3.1986 6.7861 -2.8135" Properties=species:S:1:pos:R:3 pbc="T T T"
Li 1.2583 -0.1957 3.7962
Se -2.1428 1.6831 0.8570
Ag -1.5993 3.3931 -1.4068
U -0.3409 3.1974 2.3894
U -4.2592 3.3791 1.5854
Se 0.2388 4.9019 0.2341
Li 0.0000 0.0000 0.0000
Se 1.4609 4.7117 3.9218
Se -0.9207 1.4930 4.5446
Li 3.9183 -0.1817 0.8040
Se -4.7269 1.6696 3.7639
Se -2.4676 4.9680 3.1853
U 2.3190 3.2114 -0.6028
Se 4.0450 4.7252 1.0148
Se 1.7857 1.4269 1.5934
```

=====

# 3
# Li2UAg2Se4

Crystalline Li2UAg2Se4 at its relaxed geometry (PBE, Alexandria).

Computed properties:
Calculated density: 6.28 Mg/m³
E_form (uncorrected): -0.822 eV per atom
N(E_F): 4.15 states/eV per cell
Uncorrected energy: -42.16 eV for the cell shown

```
9
Lattice="4.0713 0.0000 0.0000 0.0000 7.6845 -0.5972 -2.0357 -3.5820 6.8964" Properties=species:S:1:pos:R:3 pbc="T T T"
Se 2.0357 3.8563 3.4240
Li 0.0000 2.9111 1.9502
Se 0.0000 2.1147 6.1198
Ag 0.0000 -1.9907 4.4870
U 0.0000 0.0000 0.0000
Se 2.0357 1.9878 0.1794
Ag 2.0357 6.0932 1.8123
Se 0.0000 0.2462 2.8753
Li 2.0357 1.1914 4.3490
```

=====

# 4
# Li2UAgSe4

Crystalline Li2UAgSe4 at its relaxed geometry (PBE, Alexandria).

Computed properties:
Calculated density: 6.36 Mg/m³
E_form (uncorrected): -0.935 eV per atom
N(E_F): 5.89 states/eV per cell
Uncorrected energy: -39.39 eV for the cell shown

```
8
Lattice="4.0820 0.0000 0.0000 0.0000 6.5970 0.1538 0.0000 -2.2716 6.5004" Properties=species:S:1:pos:R:3 pbc="T T T"
U 2.0410 3.2985 0.0769
Se 2.0410 3.1776 4.9451
Ag 0.0000 0.0000 0.0000
Se 0.0000 -0.0152 4.9081
Li 0.0000 2.1627 3.3271
Se 2.0410 1.1478 1.7090
Se 0.0000 4.3406 1.7460
Li 2.0410 -1.1358 3.2502
```

=====

# 5
# LiUAgSe4

Crystalline LiUAgSe4 at its relaxed geometry (PBE, Alexandria).

Computed properties:
Calculated density: 6.52 Mg/m³
E_form (uncorrected): -0.774 eV per atom
N(E_F): 8.44 states/eV per cell
Uncorrected energy: -70.82 eV for the cell shown

```
14
Lattice="-1.5631 8.0552 2.4990 -6.8255 3.3816 -0.4484 -2.6080 1.9172 6.9098" Properties=species:S:1:pos:R:3 pbc="T T T"
Se -8.6859 9.9822 6.5534
Se -3.6243 7.2131 3.9244
Se -4.3543 3.8111 5.7709
Li -5.8251 5.8272 7.0151
Ag -1.3040 0.9586 3.4549
Se -6.6422 9.5429 3.1895
Se -2.3106 3.3718 2.4070
Se -5.7224 4.8027 1.7189
U 0.0000 0.0000 0.0000
Li -5.1714 7.5268 1.9452
Se -7.3722 6.1409 5.0360
Se -5.2741 8.5513 7.2415
Ag -2.0855 4.9862 4.7044
U -4.7167 2.6494 3.2307
```

=====

# 6
# Li4U3AgSe8

Crystalline Li4U3AgSe8 at its relaxed geometry (PBE, Alexandria).

Computed properties:
Calculated density: 6.71 Mg/m³
E_form (uncorrected): -1.090 eV per atom
N(E_F): 12.01 states/eV per cell
Uncorrected energy: -89.68 eV for the cell shown

```
16
Lattice="8.0433 0.0000 0.0000 0.0000 8.0241 -0.0241 -4.0216 -4.0195 5.6960" Properties=species:S:1:pos:R:3 pbc="T T T"
Se 5.9976 6.0576 -0.0170
Li -2.0108 -2.0097 2.8480
Se 4.0216 4.0678 2.8706
Ag 0.0000 4.0120 -0.0121
Se 0.0000 4.0124 2.8854
Se 4.0216 -0.0078 2.7865
U 2.0108 2.0023 2.8359
Li 2.0108 -2.0097 2.8480
Li 0.0000 0.0000 0.0000
U 4.0216 4.0120 -0.0121
Se 0.0000 -0.0632 2.8013
Se -1.9759 -2.0530 5.6888
Se 1.9759 -2.0530 5.6888
U -2.0108 2.0023 2.8359
Se 2.0457 6.0576 -0.0170
Li 4.0216 0.0000 0.0000
```

=====

# 7
# Li2VAgSe4

Crystalline Li2VAgSe4 at its relaxed geometry (PBE, Alexandria).

Computed properties:
Calculated density: 4.06 Mg/m³
E_form (uncorrected): -0.714 eV per atom
Uncorrected energy: -35.45 eV for the cell shown

```
8
Lattice="5.8990 0.0001 -0.0043 -0.0013 5.8996 -0.0045 -2.9466 -2.9484 5.7389" Properties=species:S:1:pos:R:3 pbc="T T T"
Se 1.5736 1.6486 4.0114
Li -0.0003 0.0008 2.7047
Se 1.6471 4.3280 1.3932
Ag 2.9519 0.0018 5.5698
Se -1.5691 -1.6467 4.0171
Li 0.0013 2.9500 5.5707
Se 4.2518 1.5734 1.3914
V 2.9499 2.9504 2.7011
```

=====

# 8
# Li2Ag3WSe6

Crystalline Li2Ag3WSe6 at its relaxed geometry (PBE, Alexandria).

Computed properties:
Calculated density: 6.65 Mg/m³
E_form (uncorrected): -0.315 eV per atom
N(E_F): 4.50 states/eV per cell
Uncorrected energy: -50.02 eV for the cell shown

```
12
Lattice="-4.4989 0.3461 4.9489 -2.0011 -3.0015 -5.6425 7.5791 -3.1545 2.7844" Properties=species:S:1:pos:R:3 pbc="T T T"
Ag 0.5395 -2.9050 1.0454
Se -0.3650 -2.1315 -1.3974
Se -4.1339 -3.3101 0.0714
Li -3.6308 -0.8174 1.2679
Ag 1.3367 -3.9733 -2.3348
Se 5.2129 -2.4998 2.0195
Li -2.8692 -1.8381 -1.9615
W 0.0000 0.0000 0.0000
Se -1.1753 -1.0455 2.0384
Se 2.2543 -4.7644 0.0525
Se 1.4441 -3.6784 3.4883
Ag -0.2576 -1.8366 4.4256
```

=====

# 9
# LiY2AgSe4

Crystalline LiY2AgSe4 at its relaxed geometry (PBE, Alexandria).

Computed properties:
Calculated density: 5.26 Mg/m³
E_form (uncorrected): -1.436 eV per atom
Uncorrected energy: -43.12 eV for the cell shown

```
8
Lattice="-1.2010 0.5770 -3.9042 -5.6280 -4.2454 1.1039 -1.6486 6.5928 1.4814" Properties=species:S:1:pos:R:3 pbc="T T T"
Se -6.0359 2.0533 -0.0192
Ag 0.0000 0.0000 0.0000
Se -2.4417 0.8711 -1.2996
Li -3.4145 -1.8342 -1.4001
Se -2.6584 3.8606 1.3883
Se -4.6182 -1.5132 1.1971
Y -1.4248 3.5849 -1.2114
Y -3.6383 1.1737 1.2927
```

=====

# 10
# Li4Zr3AgSe8

Crystalline Li4Zr3AgSe8 at its relaxed geometry (PBE, Alexandria).

Computed properties:
Calculated density: 5.13 Mg/m³
E_form (uncorrected): -1.168 eV per atom
N(E_F): 3.93 states/eV per cell
Uncorrected energy: -82.72 eV for the cell shown

```
16
Lattice="-1.6327 2.0226 7.3075 -7.5843 0.7876 -1.9126 3.6370 -6.6963 -1.4500" Properties=species:S:1:pos:R:3 pbc="T T T"
Se -3.2712 -4.5685 2.5161
Li 1.8185 -3.3481 -0.7250
Se -2.3089 0.6824 1.4288
Zr -2.7900 -1.9430 1.9724
Zr -1.9737 -2.9543 -1.6813
Ag -3.7921 0.3938 -0.9563
Se -4.2367 -2.3183 -0.3049
Se -3.0953 1.6566 4.9485
Zr -4.6085 1.4051 2.6975
Se -0.4903 -2.6483 0.6234
Se -5.0897 -1.2378 3.3214
Se -1.3434 -1.5678 4.2498
Se -2.4848 -5.5427 -1.0036
Li 0.0000 0.0000 0.0000
Li -0.8164 1.0113 3.6537
Li 1.0021 -2.3369 2.9287
```

=====

# 11
# Li7SiAg4

Crystalline Li7SiAg4 at its relaxed geometry (PBE, Alexandria).

Computed properties:
Calculated density: 4.15 Mg/m³
E_form (uncorrected): -0.062 eV per atom
N(E_F): 2.22 states/eV per cell
Uncorrected energy: -30.96 eV for the cell shown

```
12
Lattice="-0.2760 -4.1706 2.3734 2.8671 1.1046 7.1414 -4.2249 0.5219 5.2928" Properties=species:S:1:pos:R:3 pbc="T T T"
Ag 0.0847 -0.7883 8.3587
Ag 1.4332 -2.1376 6.1446
Li -1.2539 0.3870 10.2683
Li -0.3799 -2.9311 4.5393
Li 0.5854 0.4894 5.7951
Li 0.0147 -2.1732 10.7841
Li -0.1380 -2.0853 1.1867
Li -2.2192 -3.0335 9.0125
Si 0.0000 0.0000 0.0000
Ag -1.7185 -1.7558 6.4489
Li -1.6485 -0.3710 4.0235
Ag -3.0670 -0.4066 8.6630
```

=====

# 12
# Li3SiAg

Crystalline Li3SiAg at its relaxed geometry (PBE, Alexandria).

Computed properties:
Relative energy among the computed polymorphs: 44.4 kJ/mol of atoms
Calculated density: 2.45 Mg/m³
E_form (uncorrected): 0.254 eV per atom
N(E_F): 0.97 states/eV per cell
Uncorrected energy: -12.75 eV for the cell shown

```
5
Lattice="4.7361 0.0000 0.0000 0.0000 4.7361 0.0000 0.0000 0.0000 4.7361" Properties=species:S:1:pos:R:3 pbc="T T T"
Li 2.3680 0.0000 0.0000
Si 0.0000 0.0000 0.0000
Li 0.0000 0.0000 2.3680
Ag 2.3680 2.3680 2.3680
Li 0.0000 2.3680 0.0000
```

=====

# 13
# LiSiAg2

Crystalline LiSiAg2 at its relaxed geometry (PBE, Alexandria).

Computed properties:
Calculated density: 6.28 Mg/m³
E_form (uncorrected): 0.082 eV per atom
N(E_F): 0.86 states/eV per cell
Uncorrected energy: -12.71 eV for the cell shown

```
4
Lattice="-1.0255 -0.9696 -2.3885 2.5550 -0.0411 -1.0803 1.0624 -8.0697 2.8199" Properties=species:S:1:pos:R:3 pbc="T T T"
Li 1.0303 -2.5228 -1.0294
Ag 0.5236 -3.9769 1.3897
Ag 0.0076 -0.0579 0.0202
Si 1.5615 -6.5577 0.3806
```

=====

# 14
# Li2SiAg2

Crystalline Li2SiAg2 at its relaxed geometry (PBE, Alexandria).

Computed properties:
Relative energy among the computed polymorphs: 17.9 kJ/mol of atoms
Calculated density: 5.50 Mg/m³
E_form (uncorrected): 0.045 eV per atom
N(E_F): 1.83 states/eV per cell
Uncorrected energy: -29.46 eV for the cell shown

```
10
Lattice="7.0708 0.0000 0.0000 0.0000 7.0708 0.0000 0.0000 0.0000 3.1105" Properties=species:S:1:pos:R:3 pbc="T T T"
Si 0.0000 0.0000 0.0000
Li 4.5180 0.9826 0.0000
Ag 1.1198 4.6552 1.5553
Ag 4.6552 5.9510 1.5553
Li 6.0882 4.5180 0.0000
Ag 5.9510 2.4156 1.5553
Si 3.5354 3.5354 0.0000
Li 2.5528 6.0882 0.0000
Li 0.9826 2.5528 0.0000
Ag 2.4156 1.1198 1.5553
```

=====

# 15
# Li3SiAg

Crystalline Li3SiAg at its relaxed geometry (PBE, Alexandria).

Computed properties:
Relative energy among the computed polymorphs: 55.8 kJ/mol of atoms
Calculated density: 2.51 Mg/m³
E_form (uncorrected): 0.372 eV per atom
N(E_F): 2.27 states/eV per cell
Uncorrected energy: -12.15 eV for the cell shown

```
5
Lattice="-2.1190 4.1745 -0.3879 -2.8393 -1.7487 -3.3087 -3.0846 -1.2581 3.3120" Properties=species:S:1:pos:R:3 pbc="T T T"
Li -1.5423 -0.6290 1.6560
Li -1.4197 -0.8743 -1.6543
Li -1.0595 2.0872 -0.1939
Ag 0.0000 0.0000 0.0000
Si -4.0215 0.5839 -0.1923
```

=====

# 16
# Li6SiAg2

Crystalline Li6SiAg2 at its relaxed geometry (PBE, Alexandria).

Computed properties:
Relative energy among the computed polymorphs: 0.0 kJ/mol of atoms
Calculated density: 3.41 Mg/m³
E_form (uncorrected): -0.181 eV per atom
N(E_F): 1.66 states/eV per cell
Uncorrected energy: -24.23 eV for the cell shown

```
9
Lattice="3.8070 -6.5939 0.0000 3.8070 6.5939 0.0000 0.0000 0.0000 2.7662" Properties=species:S:1:pos:R:3 pbc="T T T"
Li 5.1559 0.0000 1.3831
Si 0.0000 0.0000 0.0000
Li 2.4581 0.0000 1.3831
Li 2.5780 4.4651 1.3831
Li 1.2290 -2.1288 1.3831
Li 1.2290 2.1288 1.3831
Ag 3.8070 -2.1980 0.0000
Li 2.5780 -4.4651 1.3831
Ag 3.8070 2.1980 0.0000
```

=====

# 17
# LiSiAg2

Crystalline LiSiAg2 at its relaxed geometry (PBE, Alexandria).

Computed properties:
Calculated density: 5.60 Mg/m³
E_form (uncorrected): 0.183 eV per atom
N(E_F): 1.61 states/eV per cell
Uncorrected energy: -12.31 eV for the cell shown

```
4
Lattice="-0.7107 3.4869 -5.1450 -2.1183 -5.5813 1.8699 -1.3489 -1.7916 5.8400" Properties=species:S:1:pos:R:3 pbc="T T T"
Ag -2.5140 -5.3460 5.5904
Li 0.0000 0.0000 0.0000
Ag -0.9532 -2.0269 2.1195
Si -1.7336 -3.6865 3.8550
```

=====

# 18
# LiSiAg2

Crystalline LiSiAg2 at its relaxed geometry (PBE, Alexandria).

Computed properties:
Calculated density: 6.63 Mg/m³
E_form (uncorrected): -0.041 eV per atom
N(E_F): 2.00 states/eV per cell
Uncorrected energy: -13.20 eV for the cell shown

```
4
Lattice="-3.6326 0.7300 2.1001 -2.1900 -1.8697 -3.1381 0.3123 -3.0549 1.6021" Properties=species:S:1:pos:R:3 pbc="T T T"
Li -1.6602 -1.1624 1.8511
Ag 0.0000 0.0000 0.0000
Si -0.9388 -2.4623 -0.7680
Ag -2.9113 -0.5698 -0.5190
```

=====

# 19
# Li5Si2Ag12

Crystalline Li5Si2Ag12 at its relaxed geometry (PBE, Alexandria).

Computed properties:
Calculated density: 6.69 Mg/m³
E_form (uncorrected): 0.089 eV per atom
N(E_F): 6.53 states/eV per cell
Uncorrected energy: -52.93 eV for the cell shown

```
19
Lattice="5.5169 0.0000 0.0000 -2.7584 7.6455 0.0776 0.0000 -2.6055 8.1300" Properties=species:S:1:pos:R:3 pbc="T T T"
Ag 1.3859 4.4277 3.2402
Ag 0.0000 5.5776 5.4836
Ag -1.3963 2.3474 7.1706
Li 2.7584 2.1353 3.3279
Ag 0.0000 0.4422 2.1658
Si 1.5380 0.0000 0.0000
Li 0.0000 5.2250 1.1332
Ag 4.1547 2.6927 1.0371
Si 3.9789 0.0000 0.0000
Ag -1.3859 4.4277 3.2402
Ag 1.3622 2.6927 1.0371
Ag 1.3725 0.6124 4.9674
Ag 4.1444 0.6124 4.9674
Li 0.0000 2.9048 4.8797
Li 2.7584 -0.1849 7.0744
Ag 2.7584 4.5979 6.0418
Ag 2.7585 -0.5375 2.7240
Li 0.0000 -1.3027 4.0650
Ag 1.3963 2.3474 7.1706
```

=====

# 20
# LiSiAg2

Crystalline LiSiAg2 at its relaxed geometry (PBE, Alexandria).

Computed properties:
Calculated density: 6.36 Mg/m³
E_form (uncorrected): 0.001 eV per atom
N(E_F): 1.26 states/eV per cell
Uncorrected energy: -13.04 eV for the cell shown

```
4
Lattice="4.3837 0.0000 0.0000 0.0000 2.8442 0.0179 0.0000 0.5500 5.2574" Properties=species:S:1:pos:R:3 pbc="T T T"
Ag 0.0000 1.8122 2.6537
Li 2.1919 0.8486 1.3188
Si 2.1919 2.5457 3.9565
Ag 0.0000 3.2791 5.2593
```

=====

# 21
# Li3SiAg2

Crystalline Li3SiAg2 at its relaxed geometry (PBE, Alexandria).

Computed properties:
Calculated density: 4.27 Mg/m³
E_form (uncorrected): -0.097 eV per atom
N(E_F): 4.19 states/eV per cell
Uncorrected energy: -34.90 eV for the cell shown

```
12
Lattice="5.4820 0.0000 0.0000 0.0000 6.0909 -1.0956 0.0000 -0.1400 6.1870" Properties=species:S:1:pos:R:3 pbc="T T T"
Li 4.1115 0.2183 5.7683
Li 1.3705 5.7326 -0.6769
Li 1.3705 0.3403 3.5604
Ag 2.7410 4.0954 3.5039
Ag 0.0000 1.8554 1.5875
Li 4.1115 5.6106 1.5310
Ag 0.0000 4.0954 3.5039
Ag 2.7410 1.8554 1.5875
Li 4.1115 3.5701 -0.2147
Li 1.3705 2.3807 5.3061
Si 1.3705 4.0946 1.2376
Si 4.1115 1.8563 3.8538
```

=====

# 22
# LiSiAg2

Crystalline LiSiAg2 at its relaxed geometry (PBE, Alexandria).

Computed properties:
Calculated density: 6.41 Mg/m³
E_form (uncorrected): 0.016 eV per atom
N(E_F): 1.37 states/eV per cell
Uncorrected energy: -12.97 eV for the cell shown

```
4
Lattice="-1.5161 -1.3991 -1.9951 3.1226 0.0261 -2.3911 1.7325 -5.0253 2.2076" Properties=species:S:1:pos:R:3 pbc="T T T"
Ag 0.8633 -2.5040 1.1000
Li 1.2364 -1.9428 -1.6412
Ag 0.0030 -0.0086 0.0038
Si 2.1026 -4.4555 -0.5374
```

=====

# 23
# LiSiAg2

Crystalline LiSiAg2 at its relaxed geometry (PBE, Alexandria).

Computed properties:
Calculated density: 6.31 Mg/m³
E_form (uncorrected): 0.051 eV per atom
N(E_F): 0.85 states/eV per cell
Uncorrected energy: -12.84 eV for the cell shown

```
4
Lattice="9.2172 -0.0251 -0.0147 8.7692 2.8389 -0.0147 8.7692 1.3719 2.4855" Properties=species:S:1:pos:R:3 pbc="T T T"
Li 6.6889 1.0464 0.6140
Ag 13.3697 2.0916 1.2273
Si 20.0666 3.1393 1.8420
Ag 0.0081 0.0013 0.0007
```

=====

Magnetic moment / Bohr magnetons per cell: 4.00; 5.99; 2.00; 1.08; 0.60; 7.00; 0.00; 0.00; 0.00; 0.00; 0.00; 0.00; 0.00; 0.00; 0.00; 0.00; 0.00; 0.00; 0.00; 0.00; 0.00; 0.00; 0.00